# BeZn2Cl | Alexandria | PBE-GGA | optimized geometry
# E, Ry per atom: -0.1024
# Density of states at the Fermi level, states/eV per cell: 11.97
data_BeZn2Cl
_cell_length_a 6.676
_cell_length_b 6.676
_cell_length_c 6.676
_cell_angle_alpha 90.00
_cell_angle_beta 90.00
_cell_angle_gamma 90.00
_symmetry_space_group_name_H-M 'P 1'
_symmetry_Int_Tables_number 1
_symmetry_space_group_name_Hall 'P 1'
loop_
_atom_site_label
_atom_site_fract_x
_atom_site_fract_y
_atom_site_fract_z
Be1 0.000 0.000 0.000
Be2 0.000 0.500 0.500
Be3 0.500 0.000 0.500
Be4 0.500 0.500 0.000
Zn1 0.250 0.250 0.250
Zn2 0.250 0.250 0.750
Zn3 0.250 0.750 0.250
Zn4 0.250 0.750 0.750
Zn5 0.750 0.250 0.250
Zn6 0.750 0.250 0.750
Zn7 0.750 0.750 0.250
Zn8 0.750 0.750 0.750
Cl1 0.000 0.000 0.500
Cl2 0.000 0.500 0.000
Cl3 0.500 0.000 0.000
Cl4 0.500 0.500 0.500